This record from Alexandria describes a geometry-optimized LiBeSb2 structure. The functional is PBE-GGA.

Results
E_form (uncorrected): 0.163 eV per atom
Magnetic moment: 0.00 μB/atom
Total DFT energy (no corrections): -3.31 eV per atom
SG: No. 47
DOS at the Fermi energy: 0.3733 states/eV per atom

a b c (Å): 3.634 3.542 6.385
angles (deg): 90.00 90.00 90.00
Atoms (fractional coordinates):
Be  0.500  0.500  0.250
Sb  0.000  0.000  0.473
Li  0.500  0.500  0.750
Sb  0.000  0.000  0.027